# 1
First-principles (GGA-PBE) data for a relaxed structure of SrCaMg, as listed in Alexandria via LeMat-Bulk.

For the magnetization, the calculation gives 0.00 μB/cell. For the density of states at the Fermi level, the calculation gives 3.331 states/eV/f.u. The value obtained for the uncorrected energy is -1.790 eV per atom. Its space-group type is I4mm. Its formation enthalpy at 0 K is -0.03 eV/atom. The excess energy over the best structure of this formula in the dataset comes out at 0.000 eV per atom.

abc: 4.123 4.123 13.687
angles: 90.00 90.00 90.00
Sites, in units of the cell vectors:
1 Sr 0.000 0.000 0.000
2 Sr 0.500 0.500 0.500
3 Ca 0.000 0.000 0.709
4 Ca 0.500 0.500 0.209
5 Mg 0.000 0.000 0.342
6 Mg 0.500 0.500 0.842

=====

# 2
First-principles (GGA-PBE) data for a relaxed structure of Sr2Ca7Mg2, as listed in Alexandria via LeMat-Bulk.

For the magnetization, the calculation gives 0.00 μB/cell. For the density of states at the Fermi level, the calculation gives 11.442 states/eV/f.u. The value obtained for the uncorrected energy is -1.830 eV per atom. Its space-group type is C2/m. Its formation enthalpy at 0 K is 0.04 eV/atom.

abc: 6.580 6.580 10.744
angles: 94.12 94.12 104.11
Sites, in units of the cell vectors:
1 Sr 0.218 0.782 0.000
2 Sr 0.782 0.218 0.000
3 Ca 0.071 0.701 0.643
4 Ca 0.261 0.261 0.794
5 Ca 0.299 0.929 0.357
6 Ca 0.500 0.500 0.500
7 Ca 0.701 0.071 0.643
8 Ca 0.739 0.739 0.206
9 Ca 0.929 0.299 0.357
10 Mg 0.318 0.318 0.156
11 Mg 0.682 0.682 0.844

=====

# 3
First-principles (GGA-PBE) data for a relaxed structure of SrCaMg, as listed in Alexandria via LeMat-Bulk.

For the magnetization, the calculation gives 0.00 μB/cell. For the density of states at the Fermi level, the calculation gives 4.031 states/eV/f.u. The value obtained for the uncorrected energy is -1.702 eV per atom. Its space-group type is P3m1. Its formation enthalpy at 0 K is 0.06 eV/atom. The excess energy over the best structure of this formula in the dataset comes out at 0.089 eV per atom.

abc: 5.928 5.928 3.885
angles: 90.00 90.00 120.00
Sites, in units of the cell vectors:
1 Sr 0.000 0.000 0.000
2 Ca 0.667 0.333 0.439
3 Mg 0.333 0.667 0.612

=====

# 4
First-principles (GGA-PBE) data for a relaxed structure of SrCaMg, as listed in Alexandria via LeMat-Bulk.

For the magnetization, the calculation gives 0.00 μB/cell. For the density of states at the Fermi level, the calculation gives 3.346 states/eV/f.u. The value obtained for the uncorrected energy is -1.336 eV per atom. Its space-group type is F-43m. Its formation enthalpy at 0 K is 0.42 eV/atom. The excess energy over the best structure of this formula in the dataset comes out at 0.454 eV per atom.

abc: 8.235 8.235 8.235
angles: 90.00 90.00 90.00
Sites, in units of the cell vectors:
1 Sr 0.000 0.000 0.000
2 Sr 0.000 0.500 0.500
3 Sr 0.500 0.000 0.500
4 Sr 0.500 0.500 0.000
5 Ca 0.250 0.250 0.250
6 Ca 0.250 0.750 0.750
7 Ca 0.750 0.250 0.750
8 Ca 0.750 0.750 0.250
9 Mg 0.000 0.000 0.500
10 Mg 0.000 0.500 0.000
11 Mg 0.500 0.000 0.000
12 Mg 0.500 0.500 0.500

=====

# 5
First-principles (GGA-PBE) data for a relaxed structure of SrCa3Mg, as listed in Alexandria via LeMat-Bulk.

For the magnetization, the calculation gives 2.88 μB/cell. For the density of states at the Fermi level, the calculation gives 5.036 states/eV/f.u. The value obtained for the uncorrected energy is -0.901 eV per atom. Its space-group type is Pm-3m. Its formation enthalpy at 0 K is 0.96 eV/atom. The excess energy over the best structure of this formula in the dataset comes out at 0.922 eV per atom.

abc: 6.352 6.352 6.352
angles: 90.00 90.00 90.00
Sites, in units of the cell vectors:
1 Sr 0.000 0.000 0.000
2 Ca 0.000 0.000 0.500
3 Ca 0.000 0.500 0.000
4 Ca 0.500 0.000 0.000
5 Mg 0.500 0.500 0.500

=====

# 6
First-principles (GGA-PBE) data for a relaxed structure of Sr2Ca2Mg, as listed in Alexandria via LeMat-Bulk.

For the magnetization, the calculation gives 0.00 μB/cell. For the density of states at the Fermi level, the calculation gives 7.000 states/eV/f.u. The value obtained for the uncorrected energy is -1.666 eV per atom. Its space-group type is P4/mbm. Its formation enthalpy at 0 K is 0.13 eV/atom. The excess energy over the best structure of this formula in the dataset comes out at 0.138 eV per atom.

abc: 8.601 8.601 6.117
angles: 90.00 90.00 90.00
Sites, in units of the cell vectors:
1 Sr 0.171 0.329 0.000
2 Sr 0.329 0.829 0.000
3 Sr 0.671 0.171 0.000
4 Sr 0.829 0.671 0.000
5 Ca 0.147 0.647 0.500
6 Ca 0.353 0.147 0.500
7 Ca 0.647 0.853 0.500
8 Ca 0.853 0.353 0.500
9 Mg 0.000 0.000 0.500
10 Mg 0.500 0.500 0.500

=====

# 7
First-principles (GGA-PBE) data for a relaxed structure of Sr16CaMg12, as listed in Alexandria via LeMat-Bulk.

For the magnetization, the calculation gives 0.00 μB/cell. For the density of states at the Fermi level, the calculation gives 28.147 states/eV/f.u. The value obtained for the uncorrected energy is -1.654 eV per atom. Its space-group type is Cm. Its formation enthalpy at 0 K is 0.00 eV/atom.

abc: 11.164 11.164 11.174
angles: 107.26 107.26 107.17
Sites, in units of the cell vectors:
1 Sr 0.000 0.000 0.000
2 Sr 0.007 0.007 0.648
3 Sr 0.311 0.696 0.342
4 Sr 0.336 0.992 0.223
5 Sr 0.340 0.577 0.632
6 Sr 0.359 0.996 0.638
7 Sr 0.374 0.634 0.013
8 Sr 0.577 0.340 0.632
9 Sr 0.581 0.994 0.980
10 Sr 0.634 0.374 0.013
11 Sr 0.696 0.311 0.342
12 Sr 0.700 0.700 0.352
13 Sr 0.707 0.707 0.953
14 Sr 0.992 0.336 0.223
15 Sr 0.994 0.581 0.980
16 Sr 0.996 0.359 0.638
17 Ca 0.362 0.362 0.270
18 Mg 0.024 0.840 0.298
19 Mg 0.026 0.655 0.484
20 Mg 0.135 0.318 0.962
21 Mg 0.174 0.174 0.432
22 Mg 0.178 0.795 0.817
23 Mg 0.313 0.313 0.769
24 Mg 0.318 0.135 0.962
25 Mg 0.655 0.026 0.484
26 Mg 0.658 0.847 0.672
27 Mg 0.795 0.178 0.817
28 Mg 0.840 0.024 0.298
29 Mg 0.847 0.658 0.672

=====

# 8
First-principles (GGA-PBE) data for a relaxed structure of Sr4CaMg3, as listed in Alexandria via LeMat-Bulk.

For the magnetization, the calculation gives 0.00 μB/cell. For the density of states at the Fermi level, the calculation gives 9.376 states/eV/f.u. The value obtained for the uncorrected energy is -1.703 eV per atom. Its space-group type is Pmmm. Its formation enthalpy at 0 K is -0.01 eV/atom.

abc: 4.326 6.036 12.058
angles: 90.00 90.00 90.00
Sites, in units of the cell vectors:
1 Sr 0.000 0.000 0.000
2 Sr 0.000 0.000 0.500
3 Sr 0.000 0.500 0.234
4 Sr 0.000 0.500 0.766
5 Ca 0.500 0.500 0.500
6 Mg 0.500 0.000 0.256
7 Mg 0.500 0.000 0.744
8 Mg 0.500 0.500 0.000

=====

Question: Look up the uncorrected energy of the second one.
Answer: -1.830 eV per atom

=====

Question: What is the formula in the fourth record?
Answer: SrCaMg